The following is a PBE calculation of an optimized crystal structure of CdReTeN2, from the Alexandria database.

Lattice parameters (Å, degrees): 4.1883 4.1883 6.6259 90.00 90.00 90.00
With the nearest neighbours (Å) after each atom.
Fractional positions:
Re (0.5000, 0.5000, 0.5000)  4 Te 2.96
N (0.0000, 0.5000, 0.0000)  2 Cd 2.09
N (0.5000, 0.0000, 0.0000)  2 Cd 2.09
Te (0.0000, 0.0000, 0.5000)  4 Re 2.96, 2 Cd 3.31
Cd (0.0000, 0.0000, 0.0000)  4 N 2.09

Values from the calculation:
The value obtained for the polymorph energy (0 for the lowest one) is 1981.6 meV/atom. As for the uncorrected formation energy: 12.200 eV per formula unit. The calculation puts the volume at 116.2 Å³/f.u.